The following is a PBE calculation of an optimized crystal structure of InH3S, from the Alexandria database.

electronic total energy = -12.87 eV for the cell shown
E above lowest polymorph = 0.218 eV per atom
N(E_F) = 2.07 states/eV/f.u.

abc: 3.9381 3.9381 3.9381
angles: 90.00 90.00 90.00
Last column: nearest neighbours and their distance in Å.
Fractional positions:
1 In 0.0000 0.0000 0.0000  6 H 1.97
2 H 0.0000 0.0000 0.5000  2 In 1.97
3 H 0.0000 0.5000 0.0000  2 In 1.97
4 H 0.5000 0.0000 0.0000  2 In 1.97
5 S 0.5000 0.5000 0.5000  12 H 2.78

***

The following is a PBE calculation of an optimized crystal structure of Tb2HgPd, from the Alexandria database.

DFT formation energy = -0.27 eV per formula unit
electronic total energy = -15.02 eV for the cell shown
E above lowest polymorph = 0.610 eV per atom
N(E_F) = 3.83 states/eV/f.u.

abc: 10.5313 10.5313 10.5313
angles: 18.61 18.61 18.61
Last column: nearest neighbours and their distance in Å.
Fractional positions:
1 Tb 0.0847 0.0847 0.0847  1 Pd 2.63
2 Tb 0.9153 0.9153 0.9153  1 Pd 2.63
3 Hg 0.5000 0.5000 0.5000  6 Tb 3.21, 6 Hg 3.41
4 Pd 0.0000 0.0000 0.0000  2 Tb 2.63

***

Number 1: total magnetic moment 0.4140 μB/atom. Number 2: total magnetic moment 0.0000 μB/atom.